Material: FeWN2F
Method: DFT, PBE with a Hubbard U
State: relaxed

Values from the calculation:
excess energy over the best structure of this formula in the dataset	703.4	meV/atom
space group	P4/mmm, No. 123
E	-5.586	eV/atom
density of states at the Fermi level	0.085	states/eV/atom

```
data_FeWN2F
_symmetry_space_group_name_H-M 'P 1'
_symmetry_Int_Tables_number 1
_symmetry_space_group_name_Hall 'P 1'
_cell_length_a 3.8594
_cell_length_b 3.8594
_cell_length_c 3.5626
_cell_angle_alpha 90.00
_cell_angle_beta 90.00
_cell_angle_gamma 90.00
loop_
_atom_site_label
_atom_site_fract_x
_atom_site_fract_y
_atom_site_fract_z
_atom_site_occupancy
N1 0.0000 0.5000 0.0000 1
N2 0.5000 0.0000 0.0000 1
F1 0.0000 0.0000 0.5000 1
W1 0.5000 0.5000 0.5000 1
Fe1 0.0000 0.0000 0.0000 1
```